Below is a relaxed structure of LiMn2Tc2, with properties calculated at the PBE level.

Lattice parameters (Å, degrees): 7.166 7.166 2.662 90.00 90.00 90.00
Space group P4/mbm (No. 127)
Unique sites:
Li1 0.000 0.000 0.000 x2
Mn1 0.137 0.363 0.000 x4
Tc1 0.157 0.657 0.500 x4

Below is a relaxed structure of LiMnTc2, with properties calculated at the PBE level.

Lattice parameters (Å, degrees): 2.563 4.273 4.933 90.00 98.35 90.00
Space group Pm (No. 6)
Unique sites:
Li1 0.000 0.000 0.000 x1
Mn1 0.823 0.500 0.242 x1
Tc1 0.307 0.500 0.759 x1
Tc2 0.505 0.000 0.498 x1

| no. | spin magnetization (μB/atom) | energy above the lowest structure with this stoichiometry (meV per atom) | calculated formation energy (eV/atom) |
| --- | --- | --- | --- |
| 1 | 0.0005 | 0 | 0.21 |
| 2 | 0.5055 | 9 | 0.20 |